10
Lattice="7.360 0.000 0.000 0.000 7.360 0.000 0.000 0.000 2.809" Properties=species:S:1:pos:R:3 comment="YV2Ni2, relaxed, DFT GGA-PBE" e_form_ev_per_atom=0.138 de_polymorph_kj_per_mol_atoms=18.2 total_magnetization_mub_per_fu=2.1 pbc="T T T"
Y 0.000 0.000 0.000
Y 3.680 3.680 0.000
V 1.183 2.497 1.405
V 2.497 6.177 1.405
V 4.862 1.183 1.405
V 6.177 4.862 1.405
Ni 0.910 4.590 0.000
Ni 2.769 0.910 0.000
Ni 4.590 6.449 0.000
Ni 6.449 2.769 0.000